1.
Here is a relaxed structure of AlReTeN2 from the Alexandria database. Energies are from GGA-PBE.

The structure in POSCAR format:
```
AlReTeN2
1.0
-2.738 2.163 -1.754
-2.623 -1.176 2.643
1.373 4.448 3.342
Re Te N Al
1 1 2 1
direct
0.000 0.000 0.000 Re
0.000 0.000 0.500 Te
0.000 0.500 0.000 N
0.500 0.000 0.000 N
0.500 0.500 0.500 Al
```

Results
The calculated total energy is -33.51 eV per cell. The total magnetic moment is 0.24 μB per formula unit.

***

2.
Here is a relaxed structure of KLaAgBr5 from the Alexandria database. Energies are from GGA-PBE.

The structure in POSCAR format:
```
KLaAgBr5
1.0
8.091 -0.135 -0.060
-2.491 7.700 -0.060
-2.379 -3.214 10.184
Br La Ag K
10 2 2 2
direct
0.928 0.324 0.114 Br
0.324 0.928 0.614 Br
0.621 0.738 0.944 Br
0.379 0.262 0.056 Br
0.072 0.676 0.886 Br
0.908 0.092 0.750 Br
0.738 0.621 0.444 Br
0.262 0.379 0.556 Br
0.092 0.908 0.250 Br
0.676 0.072 0.386 Br
0.000 0.000 0.500 La
0.000 0.000 0.000 La
0.314 0.686 0.750 Ag
0.686 0.314 0.250 Ag
0.643 0.357 0.750 K
0.357 0.643 0.250 K
```

Results
The calculated total energy is -58.62 eV per cell. The total magnetic moment is 0.00 μB per formula unit.

***

3.
Here is a relaxed structure of Zr2CdTe from the Alexandria database. Energies are from GGA-PBE.

The structure in POSCAR format:
```
Zr2CdTe
1.0
-3.208 1.329 2.593
-2.364 -3.442 -1.161
1.386 -6.627 8.736
Cd Te Zr
2 2 4
direct
0.500 0.500 0.000 Cd
0.250 0.750 0.500 Cd
0.750 0.250 0.500 Te
0.000 0.000 0.000 Te
0.875 0.880 0.750 Zr
0.375 0.370 0.750 Zr
0.630 0.125 0.250 Zr
0.120 0.625 0.250 Zr
```

Results
The calculated total energy is -41.57 eV per cell. The total magnetic moment is 0.00 μB per formula unit.

***

4.
Here is a relaxed structure of ScTa2Co from the Alexandria database. Energies are from GGA-PBE.

The structure in POSCAR format:
```
ScTa2Co
1.0
-0.174 3.055 0.109
-1.486 -0.180 2.671
6.436 0.238 3.598
Ta Co Sc
2 1 1
direct
0.000 0.000 0.018 Ta
0.500 0.500 0.289 Ta
0.000 0.000 0.471 Co
0.500 0.500 0.722 Sc
```

Results
The value obtained for the formation energy is -0.2 eV per formula unit. The calculated total energy is -37.32 eV per cell. The total magnetic moment is 0.00 μB per formula unit.